[1]
A plane-wave DFT calculation with GGA-PBE was carried out for crystalline TaIn2C at its relaxed geometry. Values from VASP.

Geometry as Quantum ESPRESSO input:
```
&SYSTEM
  ibrav = 0, nat = 8, ntyp = 3
/
ATOMIC_SPECIES
C 12.01 C.upf
In 114.82 In.upf
Ta 180.95 Ta.upf
ATOMIC_POSITIONS crystal
C 0.500 0.500 0.000
C 0.250 0.750 0.500
In 0.503 0.125 0.250
In 0.247 0.625 0.250
In 0.375 0.497 0.750
In 0.875 0.753 0.750
Ta 0.000 0.000 0.000
Ta 0.750 0.250 0.500
CELL_PARAMETERS angstrom
8.606 0.000 0.000
0.000 8.606 0.000
4.303 4.303 2.158
```

Computed properties:
SG ... I-42d
DFT formation energy ... 0.895 eV per atom
Energy ... -5.743 eV/atom
D(E_F) ... 4.88 states/eV per cell



[2]
A plane-wave DFT calculation with GGA-PBE was carried out for crystalline Ta2InC at its relaxed geometry. Values from VASP.

Geometry as Quantum ESPRESSO input:
```
&SYSTEM
  ibrav = 0, nat = 4, ntyp = 3
/
ATOMIC_SPECIES
C 12.01 C.upf
In 114.82 In.upf
Ta 180.95 Ta.upf
ATOMIC_POSITIONS crystal
C 0.000 0.000 0.000
In 0.500 0.500 0.500
Ta 0.250 0.250 0.250
Ta 0.750 0.750 0.750
CELL_PARAMETERS angstrom
1.299 -4.044 1.437
-2.510 -2.238 2.966
-2.250 -3.662 -1.278
```

Computed properties:
SG ... Fm-3m
E above lowest polymorph ... 1.7292 eV/atom
DFT formation energy ... 1.344 eV per atom
Energy ... -7.573 eV/atom
D(E_F) ... 7.75 states/eV per cell